Entry 1:
Tb2PuAu | PBE-GGA | relaxed

abc: 3.5796 3.5796 8.3615
angles: 90.00 90.00 90.00
Positions (direct):
1 Au 0.5000 0.5000 0.0000
2 Pu 0.5000 0.5000 0.5000
3 Tb 0.0000 0.0000 0.2136
4 Tb 0.0000 0.0000 0.7864

Properties
As for the calculated density: 11.76 g/cm³. The value obtained for the volume is 107 Å³ per cell. The formation energy comes out at -0.31 eV/atom. The value obtained for the magnetic moment is 1.652 μB per atom. For the density of states at the Fermi level, the calculation gives 2.01 states/eV per atom.

Entry 2:
PaH4Pt2 | PBE-GGA | relaxed

abc: 5.4767 5.6606 4.3415
angles: 65.53 50.47 49.02
Positions (direct):
1 Pt 0.7170 0.4971 0.5683
2 Pt 0.2830 0.5029 0.4317
3 H 0.3897 0.8816 0.6384
4 H 0.0262 0.8846 0.3504
5 H 0.6103 0.1184 0.3616
6 H 0.9738 0.1154 0.6496
7 Pa 0.5000 0.0000 0.0000

Properties
As for the calculated density: 13.25 g/cm³. Its uncorrected energy is -5.32 eV per atom. The value obtained for the volume is 78 Å³ per cell. The value obtained for the magnetic moment is 0.000 μB per atom. For the density of states at the Fermi level, the calculation gives 0.32 states/eV per atom.

Entry 3:
Ba4NaGa | PBE-GGA | relaxed

abc: 7.6659 9.4891 9.4891
angles: 110.67 100.38 100.38
Positions (direct):
1 Na 0.7500 0.6232 0.3768
2 Na 0.2500 0.3768 0.6232
3 Ba 0.9506 0.0621 0.7300
4 Ba 0.8841 0.6454 0.8124
5 Ba 0.1159 0.3546 0.1876
6 Ba 0.0494 0.9379 0.2700
7 Ba 0.3841 0.8124 0.6454
8 Ba 0.5494 0.2700 0.9379
9 Ba 0.4506 0.7300 0.0621
10 Ba 0.6159 0.1876 0.3546
11 Ga 0.7500 0.9998 0.0002
12 Ga 0.2500 0.0002 0.9998

Properties
As for the calculated density: 3.48 g/cm³. The value obtained for the volume is 613 Å³ per cell. The formation energy comes out at -0.12 eV/atom. The value obtained for the magnetic moment is 0.000 μB per atom. For the density of states at the Fermi level, the calculation gives 1.07 states/eV per atom.